First-principles (GGA-PBE) data for a relaxed structure of ScNbCu2F, as listed in Alexandria.

DFT total energy, eV/atom: -5.49
Symmetry: P4/mmm, No. 123
DOS at the Fermi energy, states/eV/cell: 3.410
Size of the total moment, μB/f.u.: 2.712
Formation energy from raw total energies, meV/atom: -195

Lattice parameters (Å, degrees): 4.5614 4.5614 3.9229 90.00 90.00 90.00
Last column: nearest neighbours and their distance in Å.
Fractional coordinates of all 5 atoms:
Sc: 0.0000 0.0000 0.0000  2 F 1.96
Nb: 0.5000 0.5000 0.0000  8 Cu 3.01, 4 Sc 3.23
Cu: 0.0000 0.5000 0.5000  2 F 2.28
Cu: 0.5000 0.0000 0.5000  2 F 2.28
F: 0.0000 0.0000 0.5000  2 Sc 1.96